No. 1
ErSiIr | the Alexandria database | SCAN | single point on PBEsol structure; formation energy from raw total energies = -1244 meV per atom
1.0
4.169 0.000 0.000
0.000 6.723 0.000
0.000 0.000 7.330
Er Si Ir
4 4 4
direct
0.250 0.498 0.813 Er
0.750 0.002 0.313 Er
0.250 0.998 0.687 Er
0.750 0.502 0.187 Er
0.750 0.296 0.612 Si
0.750 0.796 0.888 Si
0.250 0.704 0.388 Si
0.250 0.204 0.112 Si
0.750 0.158 0.933 Ir
0.750 0.658 0.567 Ir
0.250 0.342 0.433 Ir
0.250 0.842 0.067 Ir

=====

No. 2
ErSi2Ir2 | the Alexandria database | SCAN | single point on PBEsol structure; formation energy from raw total energies = -1229 meV per atom
1.0
4.033 0.000 0.000
0.000 4.033 0.000
-2.016 -2.016 4.918
Si Ir Er
2 2 1
direct
0.380 0.380 0.759 Si
0.620 0.620 0.241 Si
0.250 0.750 0.500 Ir
0.750 0.250 0.500 Ir
0.000 0.000 0.000 Er

=====

No. 3
Er5Si10Ir4 | the Alexandria database | SCAN | single point on PBEsol structure; formation energy from raw total energies = -989 meV per atom
1.0
4.195 0.000 0.000
0.000 12.474 0.000
0.000 0.000 12.474
Er Si Ir
10 20 8
direct
0.000 0.500 0.500 Er
0.000 0.000 0.000 Er
0.500 0.675 0.175 Er
0.500 0.325 0.825 Er
0.500 0.175 0.325 Er
0.500 0.825 0.675 Er
0.500 0.885 0.385 Er
0.500 0.115 0.615 Er
0.500 0.385 0.115 Er
0.500 0.615 0.885 Er
0.000 0.566 0.066 Si
0.000 0.434 0.934 Si
0.000 0.066 0.434 Si
0.000 0.934 0.566 Si
0.000 0.664 0.700 Si
0.000 0.336 0.300 Si
0.000 0.164 0.800 Si
0.000 0.836 0.200 Si
0.000 0.300 0.664 Si
0.000 0.700 0.336 Si
0.000 0.200 0.164 Si
0.000 0.800 0.836 Si
0.500 0.657 0.501 Si
0.500 0.343 0.499 Si
0.500 0.157 0.999 Si
0.500 0.843 0.001 Si
0.500 0.499 0.657 Si
0.500 0.501 0.343 Si
0.500 0.001 0.157 Si
0.500 0.999 0.843 Si
0.000 0.746 0.520 Ir
0.000 0.254 0.480 Ir
0.000 0.246 0.980 Ir
0.000 0.754 0.020 Ir
0.000 0.480 0.746 Ir
0.000 0.520 0.254 Ir
0.000 0.020 0.246 Ir
0.000 0.980 0.754 Ir

=====

No. 4
ErSnIr | the Alexandria database | SCAN | single point on PBEsol structure; energy of formation = -3.025 eV per formula unit
1.0
3.759 0.000 0.000
0.000 7.449 0.000
0.000 -3.725 6.451
Er Sn Ir
3 3 3
direct
0.500 0.596 0.000 Er
0.500 0.404 0.404 Er
0.500 0.000 0.596 Er
0.000 0.264 0.000 Sn
0.000 0.736 0.736 Sn
0.000 0.000 0.264 Sn
0.000 0.333 0.667 Ir
0.000 0.667 0.333 Ir
0.500 0.000 0.000 Ir

=====

No. 5
TbErIr2 | the Alexandria database | SCAN | single point on PBEsol structure; energy of formation = -4.056 eV per formula unit
1.0
4.764 0.000 0.000
2.382 4.126 0.000
2.382 1.375 3.890
Ir Tb Er
2 1 1
direct
0.750 0.750 0.750 Ir
0.250 0.250 0.250 Ir
0.000 0.000 0.000 Tb
0.500 0.500 0.500 Er

=====

No. 6
Er7Te2Ir2 | the Alexandria database | SCAN | single point on PBEsol structure; formation energy from raw total energies = -1071 meV per atom
1.0
3.864 0.000 0.000
1.932 8.978 0.028
1.932 4.215 7.927
Ir Te Er
2 2 7
direct
0.762 0.166 0.310 Ir
0.238 0.690 0.834 Ir
0.500 0.262 0.738 Te
0.000 0.662 0.338 Te
0.869 0.547 0.716 Er
0.131 0.284 0.453 Er
0.684 0.942 0.690 Er
0.316 0.310 0.058 Er
0.647 0.617 0.088 Er
0.353 0.912 0.383 Er
0.000 0.998 0.002 Er

=====

The records above yield spin magnetization values of 0.000; 0.000; 0.000; 0.000; 0.001; 0.000 μB per formula unit, respectively.
The records above yield calculated volume values of 17.1; 16.0; 17.2; 20.1; 19.1; 25.0 Å³ per atom, respectively.